Model one:
Ni3PbF (GGA+U, optimized geometry); density of states at the Fermi level = 1.19 states/eV per cell
1.0
-2.283 3.351 1.297
-3.578 -2.264 -0.448
0.337 -1.331 4.030
Ni Pb F
3 1 1
direct
0.000 0.500 0.000
0.000 0.000 0.500
0.500 0.000 0.000
0.500 0.500 0.500
0.000 0.000 0.000

---

Model two:
Ni3PbF (GGA+U, optimized geometry); density of states at the Fermi level = 5.16 states/eV per cell
1.0
-4.272 2.138 -1.501
0.913 -1.474 -4.698
-2.448 -4.281 0.867
Ni Pb F
3 1 1
direct
0.500 0.000 0.000
0.000 0.000 0.500
0.000 0.500 0.000
0.000 0.000 0.000
0.500 0.500 0.500

---

Tell me which of them is the least stable. Sure, it is model two.

---

Model one:
Ni2Pd2F (GGA+U, optimized geometry); density of states at the Fermi level = 2.41 states/eV per cell
1.0
3.624 0.000 0.000
0.000 3.624 0.000
1.812 1.812 5.903
Ni Pd F
2 2 1
direct
0.592 0.592 0.817
0.408 0.408 0.183
0.750 0.250 0.500
0.250 0.750 0.500
0.000 0.000 0.000

---

Model two:
Ni2Pd2F (GGA+U, optimized geometry); density of states at the Fermi level = 1.07 states/eV per cell
1.0
5.593 0.000 0.000
0.000 5.593 0.000
0.000 0.000 4.390
Pd F Ni
4 2 4
direct
0.832 0.332 0.500
0.668 0.832 0.500
0.332 0.168 0.500
0.168 0.668 0.500
0.500 0.500 0.000
0.000 0.000 0.000
0.342 0.842 0.000
0.158 0.342 0.000
0.658 0.158 0.000
0.842 0.658 0.000

---

Tell me which of them is the least stable. Sure, it is model one.

---

Model one:
Ni3PtF (GGA+U, optimized geometry); density of states at the Fermi level = 3.48 states/eV per cell
1.0
-1.932 0.427 -4.347
2.091 -4.083 -1.330
-3.835 -2.441 1.464
Pt Ni F
1 3 1
direct
0.000 0.000 0.000
0.500 0.000 0.000
0.000 0.000 0.500
0.000 0.500 0.000
0.500 0.500 0.500

---

Model two:
Ni3PtF (GGA+U, optimized geometry); density of states at the Fermi level = 1.39 states/eV per cell
1.0
-3.296 -1.778 1.469
2.138 -3.316 0.785
0.864 1.424 3.662
F Pt Ni
1 1 3
direct
0.000 0.000 0.000
0.500 0.500 0.500
0.000 0.000 0.500
0.000 0.500 0.000
0.500 0.000 0.000

---

Tell me which of them is the least stable. Sure, it is model one.

---

Model one:
NiPtF3 (GGA+U, optimized geometry); density of states at the Fermi level = 5.09 states/eV per cell
1.0
4.276 0.000 0.000
0.000 4.276 0.000
0.000 0.000 4.276
F Pt Ni
3 1 1
direct
0.500 0.000 0.000
0.000 0.500 0.000
0.000 0.000 0.500
0.000 0.000 0.000
0.500 0.500 0.500

---

Model two:
NiPtF3 (GGA+U, optimized geometry); density of states at the Fermi level = 6.71 states/eV per cell
1.0
4.008 0.000 0.000
0.000 4.008 0.000
0.000 0.000 4.008
F Pt Ni
3 1 1
direct
0.000 0.500 0.000
0.500 0.000 0.000
0.000 0.000 0.500
0.500 0.500 0.500
0.000 0.000 0.000

---

Tell me which of them is the least stable. Sure, it is model one.